First-principles (PBE+U) data for an optimized crystal structure of K2Cr2AsHO10, as listed in Alexandria.

Lattice parameters (Å, degrees): 7.878 7.878 14.642 90.00 90.00 120.00
Fractional positions:
1 K 0.000 0.547 0.333
2 K 0.000 0.639 0.833
3 K 0.361 0.361 0.500
4 K 0.453 0.453 0.000
5 K 0.547 0.000 0.667
6 K 0.639 0.000 0.167
7 Cr 0.014 0.584 0.076
8 Cr 0.416 0.430 0.742
9 Cr 0.430 0.416 0.258
10 Cr 0.570 0.986 0.409
11 Cr 0.584 0.014 0.924
12 Cr 0.986 0.570 0.591
13 As 0.000 0.123 0.833
14 As 0.123 0.000 0.167
15 As 0.877 0.877 0.500
16 H 0.000 0.946 0.333
17 H 0.054 0.054 0.000
18 H 0.946 0.000 0.667
19 O 0.037 0.080 0.080
20 O 0.044 0.963 0.414
21 O 0.080 0.037 0.920
22 O 0.093 0.505 0.514
23 O 0.147 0.537 0.007
24 O 0.148 0.756 0.650
25 O 0.177 0.818 0.134
26 O 0.182 0.359 0.801
27 O 0.244 0.392 0.316
28 O 0.359 0.182 0.199
29 O 0.391 0.853 0.340
30 O 0.392 0.244 0.684
31 O 0.412 0.907 0.848
32 O 0.463 0.609 0.673
33 O 0.495 0.588 0.181
34 O 0.505 0.093 0.486
35 O 0.537 0.147 0.993
36 O 0.588 0.495 0.819
37 O 0.608 0.852 0.983
38 O 0.609 0.463 0.327
39 O 0.641 0.823 0.468
40 O 0.756 0.148 0.350
41 O 0.818 0.177 0.866
42 O 0.823 0.641 0.532
43 O 0.852 0.608 0.017
44 O 0.853 0.391 0.660
45 O 0.907 0.412 0.152
46 O 0.920 0.956 0.747
47 O 0.956 0.920 0.253
48 O 0.963 0.044 0.586

Results
- total DFT energy (no corrections) (eV/atom) = -6.0484